(1)
First-principles (GGA-PBE) data for PH3Pd6 after structural relaxation, as listed in the Alexandria database.

a = 8.8811 Å, b = 3.0580 Å, c = 9.3871 Å
α = 90.00°, β = 114.75°, γ = 90.00°
Last column: nearest neighbours and their distance in Å.
Space group P2_1/m (No. 11)
Asymmetric unit:
P 0.1244 0.2500 0.3853 x2  7 Pd 2.35-2.52
H 0.1818 0.7500 0.0225 x2  3 Pd 1.85-1.87
H 0.4330 0.2500 0.9072 x2  4 Pd 1.79-1.93
H 0.4498 0.2500 0.2860 x2  3 Pd 1.81-1.85
Pd 0.0320 0.2500 0.8159 x2  2 P 2.37, 2 H 2.39
Pd 0.1394 0.7500 0.6041 x2  3 P 2.39-2.52
Pd 0.2284 0.2500 0.1483 x2  3 H 1.85-1.87
Pd 0.3382 0.7500 0.9408 x2  4 H 1.84-1.93
Pd 0.3426 0.7500 0.4363 x2  2 P 2.35, 3 H 2.48-2.52
Pd 0.4448 0.2500 0.7214 x2  3 H 1.79-1.81

The energy is -97.1 eV for the cell shown.

---

(2)
First-principles (GGA-PBE) data for PH3Pd after structural relaxation, as listed in the Alexandria database.

a = 3.4862 Å, b = 3.4862 Å, c = 3.4862 Å
α = 90.00°, β = 90.00°, γ = 90.00°
Last column: nearest neighbours and their distance in Å.
Space group Pm-3m (No. 221)
Asymmetric unit:
P 0.0000 0.0000 0.0000 x1  6 H 1.74
H 0.0000 0.0000 0.5000 x3  2 P 1.74
Pd 0.5000 0.5000 0.5000 x1  12 H 2.47

For the offset from the most stable computed form, the calculation gives 0 meV per atom.

---

(3)
First-principles (GGA-PBE) data for P2H2Pd after structural relaxation, as listed in the Alexandria database.

a = 2.9312 Å, b = 2.9312 Å, c = 11.8973 Å
α = 90.00°, β = 90.00°, γ = 90.00°
Last column: nearest neighbours and their distance in Å.
Space group I4/mmm (No. 139)
Asymmetric unit:
P 0.0000 0.0000 0.1391 x4  4 H 1.97
H 0.0000 0.5000 0.2500 x4  4 P 1.97, 4 H 2.07
Pd 0.0000 0.0000 0.5000 x2  8 P 2.65, 4 Pd 2.93

For the offset from the most stable computed form, the calculation gives 0 meV per atom.

---

(4)
First-principles (GGA-PBE) data for P2HPd8 after structural relaxation, as listed in the Alexandria database.

a = 10.7305 Å, b = 5.3318 Å, c = 5.5207 Å
α = 90.00°, β = 92.45°, γ = 90.00°
Last column: nearest neighbours and their distance in Å.
Space group C2/m (No. 12)
Asymmetric unit:
P 0.1223 0.0000 0.4382 x4  6 Pd 2.24-2.45
H 0.0000 0.0000 0.0000 x2  4 Pd 1.95
Pd 0.0436 0.2514 0.7604 x8  1 H 1.95
Pd 0.1854 0.5000 0.3755 x4  1 P 2.27
Pd 0.2253 0.0000 0.0941 x4  1 P 2.24, 1 H 2.45

For the offset from the most stable computed form, the calculation gives 82 meV per atom.

---

(5)
First-principles (GGA-PBE) data for P3HPd after structural relaxation, as listed in the Alexandria database.

a = 4.6839 Å, b = 4.6839 Å, c = 4.6839 Å
α = 90.00°, β = 90.00°, γ = 90.00°
Last column: nearest neighbours and their distance in Å.
Space group Pm-3m (No. 221)
Asymmetric unit:
P 0.0000 0.0000 0.5000 x3  2 Pd 2.34
H 0.5000 0.5000 0.5000 x1  12 P 3.31
Pd 0.0000 0.0000 0.0000 x1  6 P 2.34

For the offset from the most stable computed form, the calculation gives 702 meV per atom.

---

(6)
First-principles (GGA-PBE) data for PHPd5 after structural relaxation, as listed in the Alexandria database.

a = 8.9363 Å, b = 6.4488 Å, c = 7.3591 Å
α = 90.00°, β = 111.47°, γ = 90.00°
Last column: nearest neighbours and their distance in Å.
Space group C2/c (No. 15)
Asymmetric unit:
P 0.0000 0.0764 0.2500 x4  7 Pd 2.28-2.52
H 0.0000 0.5000 0.0000 x4  4 Pd 1.89-2.04
Pd 0.0000 0.4298 0.2500 x4  2 H 1.89
Pd 0.0822 0.1890 0.9714 x8  1 H 2.17, 1 P 2.29
Pd 0.2276 0.3886 0.6361 x8  1 H 2.04, 1 P 2.28

For the offset from the most stable computed form, the calculation gives 33 meV per atom.

---

(7)
First-principles (GGA-PBE) data for P2H2Pd after structural relaxation, as listed in the Alexandria database.

a = 6.1550 Å, b = 6.1550 Å, c = 2.8747 Å
α = 90.00°, β = 90.00°, γ = 90.00°
Last column: nearest neighbours and their distance in Å.
Space group P4/mbm (No. 127)
Asymmetric unit:
P 0.1250 0.3750 0.0000 x4  4 H 2.01, 1 P 2.18
H 0.1030 0.6030 0.5000 x4  1 H 1.79
Pd 0.0000 0.0000 0.0000 x2  4 P 2.43

For the offset from the most stable computed form, the calculation gives 32 meV per atom.

---

(8)
First-principles (GGA-PBE) data for P2H2Pd7 after structural relaxation, as listed in the Alexandria database.

a = 7.5324 Å, b = 8.1564 Å, c = 5.1513 Å
α = 90.00°, β = 104.08°, γ = 90.00°
Last column: nearest neighbours and their distance in Å.
Space group C2/m (No. 12)
Asymmetric unit:
P 0.0000 0.2383 0.0000 x4  6 Pd 2.35-2.37
H 0.2164 0.5000 0.4206 x4  4 Pd 1.77-1.86
Pd 0.0000 0.5000 0.5000 x2  2 H 1.77
Pd 0.1205 0.0000 0.2443 x4  1 H 1.86
Pd 0.2103 0.1820 0.7419 x8  1 H 1.85

For the offset from the most stable computed form, the calculation gives 0 meV per atom.

---

(9)
First-principles (GGA-PBE) data for PHPd5 after structural relaxation, as listed in the Alexandria database.

a = 5.2331 Å, b = 10.8384 Å, c = 7.1413 Å
α = 90.00°, β = 106.52°, γ = 90.00°
Last column: nearest neighbours and their distance in Å.
Space group P2_1/c (No. 14)
Asymmetric unit:
P 0.0841 0.0376 0.2729 x4  7 Pd 2.27-2.46
H 0.3750 0.6946 0.9227 x4  4 Pd 1.83-1.99
Pd 0.0355 0.6344 0.9633 x4  1 H 1.99
Pd 0.1415 0.1037 0.9578 x4  2 P 2.31-2.46
Pd 0.2978 0.6412 0.3854 x4  1 H 1.83
Pd 0.3688 0.2000 0.3368 x4  1 H 1.86
Pd 0.4788 0.5655 0.7917 x4  1 H 1.85

For the offset from the most stable computed form, the calculation gives 0 meV per atom.

---

(10)
First-principles (GGA-PBE) data for PH2Pd after structural relaxation, as listed in the Alexandria database.

a = 4.5004 Å, b = 4.5004 Å, c = 8.0411 Å
α = 90.00°, β = 90.00°, γ = 90.00°
Last column: nearest neighbours and their distance in Å.
Space group I-42d (No. 122)
Asymmetric unit:
P 0.0000 0.0000 0.0000 x4  4 H 1.99
H 0.2112 0.2500 0.6250 x8  2 Pd 1.78, 2 P 1.99
Pd 0.0000 0.0000 0.5000 x4  4 H 1.78

For the offset from the most stable computed form, the calculation gives 0 meV per atom.

---

(11)
First-principles (GGA-PBE) data for PHPd3 after structural relaxation, as listed in the Alexandria database.

a = 5.9936 Å, b = 4.1306 Å, c = 6.0008 Å
α = 90.00°, β = 101.35°, γ = 90.00°
Last column: nearest neighbours and their distance in Å.
Space group P2/m (No. 10)
Asymmetric unit:
P 0.1126 0.0000 0.3865 x2  1 P 2.10, 4 Pd 2.28-2.30
H 0.4176 0.5000 0.0837 x2  1 H 1.54
Pd 0.0000 0.0000 0.0000 x1  2 P 2.28
Pd 0.2235 0.5000 0.2771 x2  1 H 1.80
Pd 0.2867 0.5000 0.7879 x2  2 H 1.79
Pd 0.5000 0.0000 0.5000 x1  2 P 2.29

For the offset from the most stable computed form, the calculation gives 119 meV per atom.

---

(12)
First-principles (GGA-PBE) data for P2H2Pd7 after structural relaxation, as listed in the Alexandria database.

a = 4.7030 Å, b = 5.6536 Å, c = 5.8383 Å
α = 72.37°, β = 87.76°, γ = 84.80°
Last column: nearest neighbours and their distance in Å.
Space group P-1 (No. 2)
Asymmetric unit:
P 0.0701 0.4928 0.3110 x2  1 P 2.30, 5 Pd 2.32-2.41
H 0.4859 0.1102 0.1209 x2  4 Pd 1.82-1.91
Pd 0.2328 0.1440 0.8666 x2  2 H 1.85-1.89
Pd 0.2441 0.0809 0.3779 x2  1 H 1.82
Pd 0.2541 0.6424 0.9059 x2  1 H 1.91
Pd 0.5000 0.5000 0.5000 x1  2 P 2.35

For the offset from the most stable computed form, the calculation gives 61 meV per atom.

---

(13)
First-principles (GGA-PBE) data for PH2Pd3 after structural relaxation, as listed in the Alexandria database.

a = 9.9316 Å, b = 4.9690 Å, c = 2.8312 Å
α = 90.00°, β = 106.23°, γ = 90.00°
Last column: nearest neighbours and their distance in Å.
Space group C2/m (No. 12)
Asymmetric unit:
P 0.0000 0.0000 0.0000 x2  6 Pd 2.43-2.48
H 0.1552 0.5000 0.6581 x4  4 Pd 1.92-2.06
Pd 0.0000 0.5000 0.0000 x2  4 H 2.04-2.06
Pd 0.2075 0.0000 0.7051 x4  2 H 1.92-1.93

The energy is -56.5 eV for the cell shown.

---

(14)
First-principles (GGA-PBE) data for P3HPd after structural relaxation, as listed in the Alexandria database.

a = 3.9826 Å, b = 3.9826 Å, c = 3.9826 Å
α = 90.00°, β = 90.00°, γ = 90.00°
Last column: nearest neighbours and their distance in Å.
Space group Pm-3m (No. 221)
Asymmetric unit:
P 0.0000 0.0000 0.5000 x3  2 H 1.99
H 0.0000 0.0000 0.0000 x1  6 P 1.99
Pd 0.5000 0.5000 0.5000 x1  12 P 2.82

For the offset from the most stable computed form, the calculation gives 0 meV per atom.

---

(15)
First-principles (GGA-PBE) data for P2HPd after structural relaxation, as listed in the Alexandria database.

a = 5.8332 Å, b = 5.8332 Å, c = 5.8332 Å
α = 90.00°, β = 90.00°, γ = 90.00°
Last column: nearest neighbours and their distance in Å.
Space group Fm-3m (No. 225)
Asymmetric unit:
P 0.2500 0.2500 0.2500 x8  4 H 2.53, 4 Pd 2.53
H 0.0000 0.0000 0.0000 x4  8 P 2.53
Pd 0.0000 0.0000 0.5000 x4  8 P 2.53

For the offset from the most stable computed form, the calculation gives 57 meV per atom.

---

(16)
First-principles (GGA-PBE) data for PH3Pd after structural relaxation, as listed in the Alexandria database.

a = 3.5649 Å, b = 3.5649 Å, c = 3.5649 Å
α = 90.00°, β = 90.00°, γ = 90.00°
Last column: nearest neighbours and their distance in Å.
Space group Pm-3m (No. 221)
Asymmetric unit:
P 0.0000 0.0000 0.0000 x1  12 H 2.52
H 0.0000 0.5000 0.5000 x3  2 Pd 1.78
Pd 0.5000 0.5000 0.5000 x1  6 H 1.78

For the offset from the most stable computed form, the calculation gives 59 meV per atom.

---

(17)
First-principles (GGA-PBE) data for P2HPd6 after structural relaxation, as listed in the Alexandria database.

a = 9.7077 Å, b = 3.8032 Å, c = 6.7281 Å
α = 90.00°, β = 92.45°, γ = 90.00°
Last column: nearest neighbours and their distance in Å.
Space group C2/m (No. 12)
Asymmetric unit:
P 0.2123 0.0000 0.2437 x4  7 Pd 2.33-2.55
H 0.0000 0.0000 0.5000 x2  2 Pd 1.76
Pd 0.0320 0.0000 0.7591 x4  1 H 1.76
Pd 0.1433 0.5000 0.4714 x4  3 P 2.33-2.55, 2 H 2.37
Pd 0.1476 0.5000 0.0374 x4  3 P 2.38-2.42

The energy is -96.7 eV for the cell shown.

---

(18)
First-principles (GGA-PBE) data for PHPd3 after structural relaxation, as listed in the Alexandria database.

a = 3.9722 Å, b = 3.9722 Å, c = 3.9722 Å
α = 90.00°, β = 90.00°, γ = 90.00°
Last column: nearest neighbours and their distance in Å.
Space group Pm-3m (No. 221)
Asymmetric unit:
P 0.0000 0.0000 0.0000 x1  12 Pd 2.81
H 0.5000 0.5000 0.5000 x1  6 Pd 1.99
Pd 0.0000 0.5000 0.5000 x3  2 H 1.99

For the offset from the most stable computed form, the calculation gives 217 meV per atom.

---

(19)
First-principles (GGA-PBE) data for PH6Pd8 after structural relaxation, as listed in the Alexandria database.

a = 8.0186 Å, b = 8.0186 Å, c = 8.3958 Å
α = 90.00°, β = 90.00°, γ = 120.00°
Last column: nearest neighbours and their distance in Å.
Space group R-3 (No. 148, hexagonal axes)
Asymmetric unit:
P 0.0000 0.0000 0.0000 x3  6 Pd 2.40
H 0.0367 0.2374 0.6219 x18  4 Pd 1.83-1.93
Pd 0.0000 0.0000 0.3229 x6  3 H 1.83
Pd 0.0347 0.2922 0.1104 x18  3 H 1.88-1.93

The energy is -208.1 eV for the cell shown.

---

(20)
First-principles (GGA-PBE) data for P2HPd8 after structural relaxation, as listed in the Alexandria database.

a = 6.9963 Å, b = 10.1705 Å, c = 4.8530 Å
α = 90.00°, β = 113.25°, γ = 90.00°
Last column: nearest neighbours and their distance in Å.
Space group C2/m (No. 12)
Asymmetric unit:
P 0.0000 0.1887 0.0000 x4  6 Pd 2.33-2.39
H 0.0000 0.5000 0.5000 x2  2 Pd 1.74
Pd 0.0000 0.3288 0.5000 x4  1 H 1.74
Pd 0.1369 0.0000 0.3096 x4  1 H 2.34, 2 P 2.39
Pd 0.2274 0.3670 0.1410 x8  2 P 2.33-2.34

For the offset from the most stable computed form, the calculation gives 0 meV per atom.

---

Number 1: density of states at the Fermi level 5.9 states/eV/cell. Number 2: density of states at the Fermi level 0.7 states/eV/cell. Number 3: density of states at the Fermi level 3.5 states/eV/cell. Number 4: density of states at the Fermi level 10.2 states/eV/cell. Number 5: density of states at the Fermi level 2.9 states/eV/cell. Number 6: density of states at the Fermi level 12.7 states/eV/cell. Number 7: density of states at the Fermi level 4.0 states/eV/cell. Number 8: density of states at the Fermi level 7.6 states/eV/cell. Number 9: density of states at the Fermi level 9.1 states/eV/cell. Number 10: density of states at the Fermi level 5.4 states/eV/cell. Number 11: density of states at the Fermi level 3.2 states/eV/cell. Number 12: density of states at the Fermi level 3.9 states/eV/cell. Number 13: density of states at the Fermi level 1.8 states/eV/cell. Number 14: density of states at the Fermi level 2.4 states/eV/cell. Number 15: density of states at the Fermi level 5.6 states/eV/cell. Number 16: density of states at the Fermi level 2.5 states/eV/cell. Number 17: density of states at the Fermi level 6.1 states/eV/cell. Number 18: density of states at the Fermi level 6.1 states/eV/cell. Number 19: density of states at the Fermi level 15.2 states/eV/cell. Number 20: density of states at the Fermi level 8.5 states/eV/cell.